A plane-wave DFT calculation with PBE was carried out for a relaxed structure of BeCuGeW.

Computed properties:
V, Å³ per atom: 13.11
ρ, g cm⁻³: 10.42
Total moment, μB/atom: 0.001
E, eV/atom: -5.8070

a b c (Å): 5.9418 5.9418 5.9418
angles (deg): 90.00 90.00 90.00
Space group F-43m (No. 216)
Inequivalent atoms, fractional coordinates:
1 Be 0.0000 0.0000 0.0000
2 Cu 0.2500 0.2500 0.7500
3 Ge 0.0000 0.0000 0.5000
4 W 0.2500 0.2500 0.2500

---

A plane-wave DFT calculation with PBE was carried out for a relaxed structure of YBeCuGe.

Computed properties:
V, Å³ per atom: 16.18
ρ, g cm⁻³: 6.00
Total moment, μB/atom: 0.000
E, eV/atom: -4.6758

a b c (Å): 6.3738 6.3738 6.3738
angles (deg): 90.00 90.00 90.00
Space group F-43m (No. 216)
Inequivalent atoms, fractional coordinates:
1 Y 0.0000 0.0000 0.0000
2 Be 0.2500 0.2500 0.2500
3 Cu 0.2500 0.2500 0.7500
4 Ge 0.0000 0.0000 0.5000

---

Among the records above, which one has the highest ρ? BeCuGeW